Computed, not measured: an optimized crystal structure of Pr7NdCd4 at the GGA-PBE level of DFT.

Structure (POSCAR):
```
Pr7NdCd4
1.0
-2.0865 -0.7110 5.5263
-7.9374 -4.8602 -0.4193
1.2496 -7.5927 2.6978
Pr Nd Cd
7 1 4
Cartesian
-8.0100 -8.8365 5.4473
-0.7642 -4.3273 2.3575
-4.4920 -4.9744 0.8668
-4.2822 -8.1894 6.9380
-5.0713 -9.4648 3.2732
-1.0433 -0.3555 2.7632
-3.7030 -3.6991 4.5316
0.0000 0.0000 0.0000
-2.6212 -6.5946 4.5675
-6.1530 -6.5693 3.2373
-5.4124 -11.1107 6.1354
-3.3618 -2.0531 1.6694
```

## Properties
ΔH_f (0 K) ... -0.038 eV per atom
Crystal system ... monoclinic